Ag2Se | meta-GGA SCAN | single point on PBEsol structure

Output
- Crystal system: tetragonal
- Uncorrected energy: -331.088 eV/cell
- Energy relative to the elements, uncorrected: 1.3 kJ/mol of atoms
- Density of states at the Fermi level: 3.7 states/eV/cell

a b c (Å): 4.0671 4.0671 13.3413
angles (deg): 98.77 98.77 90.00
Element x y z (fractional)
Ag 0.4991 0.9991 0.9982
Ag 0.0009 0.5009 0.0018
Ag 0.2491 0.2491 0.4982
Ag 0.7509 0.7509 0.5018
Ag 0.6657 0.1657 0.3314
Ag 0.8343 0.3343 0.6686
Ag 0.4157 0.4157 0.8314
Ag 0.5843 0.5843 0.1686
Se 0.3242 0.8242 0.6485
Se 0.1758 0.6758 0.3515
Se 0.0742 0.0742 0.1485
Se 0.9258 0.9258 0.8515

---

Ta2AlSi | meta-GGA SCAN | single point on PBEsol structure

Output
- Crystal system: monoclinic
- Relative energy among the computed polymorphs: 15.5 meV per atom
- Uncorrected energy: -151.709 eV/cell
- Energy relative to the elements, uncorrected: -18.7 kJ/mol of atoms
- Density of states at the Fermi level: 1.9 states/eV/cell

a b c (Å): 2.8157 4.7339 5.0179
angles (deg): 101.02 106.29 90.00
Element x y z (fractional)
Si 0.7600 0.2262 0.5200
Al 0.4860 0.5200 0.9720
Ta 0.0158 0.0403 0.0315
Ta 0.2382 0.7134 0.4765

---

AgRhAu2 | meta-GGA SCAN | single point on PBEsol structure

Output
- Crystal system: orthorhombic
- Relative energy among the computed polymorphs: 94.5 meV per atom
- Uncorrected energy: -202.775 eV/cell
- Density of states at the Fermi level: 2.1 states/eV/cell
- DFT formation energy: 0.169 eV/atom

a b c (Å): 2.8179 4.7937 5.5211
angles (deg): 115.73 104.79 90.00
Last column: magnetic moment on the atom in μB.
Element x y z (fractional)
Ag 0.0000 0.5000 0.0000  0.01
Au 0.7555 0.7555 0.5110  0.00
Au 0.2445 0.2445 0.4890  0.00
Rh 0.5000 0.0000 0.0000  0.65

---

TaRe2Se | meta-GGA SCAN | single point on PBEsol structure

Output
- Crystal system: cubic
- Uncorrected energy: -226.670 eV/cell
- Energy relative to the elements, uncorrected: 52.7 kJ/mol of atoms
- Density of states at the Fermi level: 3.5 states/eV/cell

a b c (Å): 4.4587 4.4587 4.4587
angles (deg): 60.00 60.00 60.00
Element x y z (fractional)
Re 0.0000 0.0000 0.0000
Re 0.7500 0.7500 0.7500
Se 0.5000 0.5000 0.5000
Ta 0.2500 0.2500 0.2500

---

Te2HCl | meta-GGA SCAN | single point on PBEsol structure

Output
- Crystal system: trigonal
- Uncorrected energy: -84.282 eV/cell
- Density of states at the Fermi level: 1.5 states/eV/cell

a b c (Å): 3.3667 3.3667 8.4386
angles (deg): 78.49 78.49 60.00
Element x y z (fractional)
H 0.5000 0.5000 0.5000
Te 0.8932 0.8932 0.3204
Te 0.1068 0.1068 0.6796
Cl 0.0000 0.0000 0.0000

---

HgBi2S2 | meta-GGA SCAN | single point on PBEsol structure

Output
- Crystal system: tetragonal
- Relative energy among the computed polymorphs: 0.0 meV per atom
- Uncorrected energy: -489.336 eV/cell
- Energy relative to the elements, uncorrected: -1.7 kJ/mol of atoms
- Density of states at the Fermi level: 2.9 states/eV/cell

a b c (Å): 3.7405 8.2072 8.2072
angles (deg): 90.00 90.00 90.00
Element x y z (fractional)
S 0.5000 0.1475 0.6475
S 0.5000 0.6475 0.8525
S 0.5000 0.8525 0.3525
S 0.5000 0.3525 0.1475
Bi 0.0000 0.3141 0.8141
Bi 0.0000 0.8141 0.6859
Bi 0.0000 0.6859 0.1859
Bi 0.0000 0.1859 0.3141
Hg 0.0000 0.0000 0.0000
Hg 0.0000 0.5000 0.5000

---

Y2ZrRe | meta-GGA SCAN | single point on PBEsol structure

Output
- Crystal system: tetragonal
- Uncorrected energy: -156.280 eV/cell
- Density of states at the Fermi level: 6.8 states/eV/cell
- DFT formation energy: 0.300 eV/atom

a b c (Å): 3.3509 3.3509 8.1190
angles (deg): 90.00 90.00 90.00
Element x y z (fractional)
Re 0.5000 0.5000 0.5000
Y 0.0000 0.0000 0.7085
Y 0.0000 0.0000 0.2915
Zr 0.5000 0.5000 0.0000

---

MnCdHg2 | meta-GGA SCAN | single point on PBEsol structure

Output
- Crystal system: monoclinic
- Uncorrected energy: -184.928 eV/cell
- Density of states at the Fermi level: 1.6 states/eV/cell
- DFT formation energy: 0.018 eV/atom

a b c (Å): 3.1157 4.9207 5.4736
angles (deg): 101.74 90.00 108.46
Last column: magnetic moment on the atom in μB.
Element x y z (fractional)
Cd 0.5000 0.0000 0.0000  -0.04
Hg 0.7419 0.4839 0.7346  -0.01
Hg 0.2581 0.5161 0.2654  -0.01
Mn 0.0000 0.0000 0.5000  4.16

---

CoHgTeAs2 | meta-GGA SCAN | single point on PBEsol structure

Output
- Crystal system: tetragonal
- Uncorrected energy: -161.212 eV/cell
- Energy relative to the elements, uncorrected: 36.5 kJ/mol of atoms
- Density of states at the Fermi level: 3.5 states/eV/cell

a b c (Å): 4.5025 4.5025 5.0908
angles (deg): 90.00 90.00 90.00
Element x y z (fractional)
As 0.0000 0.5000 0.0000
As 0.5000 0.0000 0.0000
Te 0.5000 0.5000 0.5000
Co 0.0000 0.0000 0.0000
Hg 0.0000 0.0000 0.5000

---

Rb2BeAsCl | meta-GGA SCAN | single point on PBEsol structure

Output
- Crystal system: tetragonal
- Uncorrected energy: -73.376 eV/cell
- Energy relative to the elements, uncorrected: 12.0 kJ/mol of atoms
- Density of states at the Fermi level: 2.5 states/eV/cell

a b c (Å): 4.9821 6.0734 6.0734
angles (deg): 90.00 90.00 90.00
Element x y z (fractional)
Be 0.5000 0.5000 0.5000
As 0.5000 0.0000 0.0000
Rb 0.0000 0.0000 0.5000
Rb 0.0000 0.5000 0.0000
Cl 0.0000 0.0000 0.0000

---

CoMoIr2 | meta-GGA SCAN | single point on PBEsol structure

Output
- Crystal system: tetragonal
- Relative energy among the computed polymorphs: 250.5 meV per atom
- Uncorrected energy: -194.431 eV/cell
- Density of states at the Fermi level: 3.9 states/eV/cell
- DFT formation energy: -0.011 eV/atom

a b c (Å): 2.6808 2.6808 7.4546
angles (deg): 90.00 90.00 90.00
Last column: magnetic moment on the atom in μB.
Element x y z (fractional)
Mo 0.0000 0.0000 0.5137  0.00
Ir 0.0000 0.0000 0.9853  0.28
Ir 0.5000 0.5000 0.2473  -0.10
Co 0.5000 0.5000 0.7536  1.54

---

RePtN2 | meta-GGA SCAN | single point on PBEsol structure

Output
- Crystal system: trigonal
- Uncorrected energy: -159.484 eV/cell
- Energy relative to the elements, uncorrected: 9.4 kJ/mol of atoms
- Density of states at the Fermi level: 1.5 states/eV/cell

a b c (Å): 2.8003 2.8003 6.7189
angles (deg): 77.97 77.97 60.00
Element x y z (fractional)
Re 0.5000 0.5000 0.5000
Pt 0.0000 0.0000 0.0000
N 0.8989 0.8989 0.3033
N 0.1011 0.1011 0.6967

---

> What is the formula in the sixth record?

HgBi2S2